Sr2PrErSe4: optimized geometry, GGA-PBE.

Calculated values
- D(E_F): 3.5 states/eV per cell
- Uncorrected formation energy: -1.88 eV/atom

POSCAR file:
```
Sr2PrErSe4
1.0
-2.5101 1.7128 -2.9648
-5.8773 -1.1913 4.2877
2.8134 6.7940 1.5430
Sr Pr Se Er
2 1 4 1
Cartesian
-1.5319 2.8014 2.9154
0.1517 4.2534 -0.7109
-4.1937 0.2607 0.6615
-3.5932 5.1644 2.9860
-1.9808 2.1511 -0.1200
-3.7753 0.7190 3.6116
0.7114 4.8838 2.2191
0.0000 0.0000 0.0000
```